Record 1
First-principles (PBE) data for a geometry-optimized AcNd2Mg6 structure, as listed in Alexandria via LeMat-Bulk.

Values from the calculation:
Spin magnetization, μB/f.u.: 0.0
Calculated formation energy, kJ per mole of atoms: -7.37

Unit cell a=9.256 b=9.256 c=3.500 alpha=90.00 beta=90.00 gamma=120.00
Sites, in units of the cell vectors:
Ac  0.000  0.000  0.000
Nd  0.333  0.667  0.000
Nd  0.667  0.333  0.000
Mg  0.000  0.338  0.500
Mg  0.000  0.662  0.500
Mg  0.338  0.000  0.500
Mg  0.338  0.338  0.500
Mg  0.662  0.000  0.500
Mg  0.662  0.662  0.500

Record 2
First-principles (PBE) data for a geometry-optimized Ac2NdMg4 structure, as listed in Alexandria via LeMat-Bulk.

Values from the calculation:
ΔE to the lowest computed polymorph, meV/atom: 355
Spin magnetization, μB/f.u.: 0.0
Calculated formation energy, kJ per mole of atoms: 45.63

Unit cell a=9.554 b=9.554 c=9.554 alpha=145.15 beta=145.15 gamma=50.11
Sites, in units of the cell vectors:
Ac  0.115  0.115  0.000
Ac  0.885  0.885  0.000
Nd  0.500  0.500  0.000
Mg  0.000  0.500  0.500
Mg  0.322  0.322  0.000
Mg  0.500  0.000  0.500
Mg  0.678  0.678  0.000

Record 3
First-principles (PBE) data for a geometry-optimized Ac3Nd12Mg structure, as listed in Alexandria via LeMat-Bulk.

Values from the calculation:
Spin magnetization, μB/f.u.: 0.0
Calculated formation energy, kJ per mole of atoms: 2.40

Unit cell a=5.257 b=5.257 c=20.901 alpha=90.00 beta=90.00 gamma=90.00
Sites, in units of the cell vectors:
Ac  0.000  0.000  0.000
Ac  0.000  0.000  0.256
Ac  0.000  0.000  0.744
Nd  0.000  0.500  0.128
Nd  0.000  0.500  0.383
Nd  0.000  0.500  0.617
Nd  0.000  0.500  0.872
Nd  0.500  0.000  0.128
Nd  0.500  0.000  0.383
Nd  0.500  0.000  0.617
Nd  0.500  0.000  0.872
Nd  0.500  0.500  0.000
Nd  0.500  0.500  0.258
Nd  0.500  0.500  0.500
Nd  0.500  0.500  0.742
Mg  0.000  0.000  0.500

Record 4
First-principles (PBE) data for a geometry-optimized AcNd2Mg structure, as listed in Alexandria via LeMat-Bulk.

Values from the calculation:
ΔE to the lowest computed polymorph, meV/atom: 290
Spin magnetization, μB/f.u.: 0.0
Calculated formation energy, kJ per mole of atoms: 24.19

Unit cell a=13.014 b=13.014 c=13.014 alpha=16.15 beta=16.15 gamma=16.15
Sites, in units of the cell vectors:
Ac  0.000  0.000  0.000
Nd  0.413  0.413  0.413
Nd  0.587  0.587  0.587
Mg  0.500  0.500  0.500

Record 5
First-principles (PBE) data for a geometry-optimized AcNd2Mg3 structure, as listed in Alexandria via LeMat-Bulk.

Values from the calculation:
Spin magnetization, μB/f.u.: 0.0
Calculated formation energy, kJ per mole of atoms: -9.27

Unit cell a=3.966 b=3.966 c=11.902 alpha=90.00 beta=90.00 gamma=90.00
Sites, in units of the cell vectors:
Ac  0.000  0.000  0.000
Nd  0.000  0.000  0.340
Nd  0.000  0.000  0.660
Mg  0.500  0.500  0.185
Mg  0.500  0.500  0.500
Mg  0.500  0.500  0.815

Record 6
First-principles (PBE) data for a geometry-optimized Ac7Nd12Mg structure, as listed in Alexandria via LeMat-Bulk.

Values from the calculation:
Spin magnetization, μB/f.u.: 0.0
Calculated formation energy, kJ per mole of atoms: 18.81

Unit cell a=9.198 b=9.198 c=9.198 alpha=89.83 beta=89.83 gamma=89.83
Sites, in units of the cell vectors:
Ac  0.000  0.000  0.000
Ac  0.124  0.270  0.706
Ac  0.270  0.706  0.124
Ac  0.294  0.876  0.730
Ac  0.706  0.124  0.270
Ac  0.730  0.294  0.876
Ac  0.876  0.730  0.294
Nd  0.037  0.373  0.162
Nd  0.162  0.037  0.373
Nd  0.171  0.602  0.496
Nd  0.373  0.162  0.037
Nd  0.398  0.504  0.829
Nd  0.496  0.171  0.602
Nd  0.504  0.829  0.398
Nd  0.602  0.496  0.171
Nd  0.627  0.838  0.963
Nd  0.829  0.398  0.504
Nd  0.838  0.963  0.627
Nd  0.963  0.627  0.838
Mg  0.500  0.500  0.500